Computed, not measured: a relaxed TlNiF3 crystal at the PBE+U level of DFT.

Cell: 7.734 7.734 5.845 Å, 95.83 95.83 80.19°
Sites, in units of the cell vectors:
Tl1 0.095 0.905 0.750
Tl2 0.393 0.607 0.250
Tl3 0.607 0.393 0.750
Tl4 0.905 0.095 0.250
Ni1 0.156 0.409 0.656
Ni2 0.409 0.156 0.156
Ni3 0.591 0.844 0.844
Ni4 0.844 0.591 0.344
F1 0.098 0.605 0.427
F2 0.181 0.602 0.893
F3 0.236 0.241 0.389
F4 0.241 0.236 0.889
F5 0.395 0.902 0.073
F6 0.398 0.819 0.607
F7 0.602 0.181 0.393
F8 0.605 0.098 0.927
F9 0.759 0.764 0.111
F10 0.764 0.759 0.611
F11 0.819 0.398 0.107
F12 0.902 0.395 0.573

Properties
Its symmetry is C2/c, No. 15. The total energy comes out at -80.4 eV/cell. For the calculated volume, the calculation gives 341 Å³/cell.